Here is a relaxed RbCaH2 crystal from Alexandria. Energies are from PBE-GGA.

Cell and atoms, written as POSCAR:
```
RbCaH2
1.0
4.5662 0.0000 0.0000
0.0000 4.5662 0.0000
0.0000 0.0000 4.5694
Rb Ca H
1 1 2
Cartesian
2.2831 2.2831 0.0000 Rb
0.0000 0.0000 2.2847 Ca
0.0000 2.2831 2.2847 H
2.2831 0.0000 2.2847 H
```

Relative energy among the computed polymorphs = 13 meV per atom
Magnetization = 0.208 μB per atom
V = 23.82 Å³/atom